## MgBe2Au4 (PBE-GGA)

Data for MgBe2Au4 after structural relaxation.

Unit cell a=5.7136 b=6.2686 c=7.3671 alpha=110.41 beta=108.29 gamma=100.62
Closest atoms and distances in Å follow each position.
Sites, in units of the cell vectors:
Mg 0.0000 0.0000 0.0000  6 Au 2.69-2.97, 3 Be 2.75-2.95
Mg 0.2306 0.7307 0.4563  7 Au 2.71-3.00, 3 Be 2.76-2.94
Be 0.1632 0.3138 0.8124  7 Au 2.42-2.54
Be 0.5801 0.2298 0.6463  7 Au 2.42-2.53
Be 0.7655 0.7898 0.1979  5 Au 2.35-2.50
Be 0.7988 0.3190 0.2554  6 Au 2.36-2.64
Au 0.1211 0.1618 0.4312  4 Be 2.41-2.54
Au 0.4288 0.0591 0.8679  3 Be 2.44-2.64, 1 Mg 2.71
Au 0.4540 0.4872 0.1984  3 Be 2.35-2.50
Au 0.4851 0.0209 0.2610  3 Be 2.36-2.50
Au 0.5150 0.6104 0.8046  3 Be 2.42-2.50
Au 0.7913 0.9209 0.5901  3 Be 2.45-2.66, 1 Mg 2.69
Au 0.9199 0.4624 0.0250  4 Be 2.40-2.53
Au 0.9369 0.5314 0.6469  3 Be 2.42-2.51

Values from the calculation:
total magnetization = 0.00 μB per formula unit
ΔE_f = -208 meV/atom